Computed, not measured: an optimized crystal structure of GeW2O at the PBE with a Hubbard U level of DFT.

Structure (extended XYZ):
```
16
Lattice="6.094 0.000 0.000 0.000 6.094 0.000 0.000 0.000 6.094" Properties=species:S:1:pos:R:3 pbc="T T T"
Ge 0.000 0.000 0.000
Ge 0.000 3.047 3.047
Ge 3.047 0.000 3.047
Ge 3.047 3.047 0.000
W 1.524 1.524 1.524
W 1.524 1.524 4.571
W 1.524 4.571 1.524
W 1.524 4.571 4.571
W 4.571 1.524 1.524
W 4.571 1.524 4.571
W 4.571 4.571 1.524
W 4.571 4.571 4.571
O 0.000 0.000 3.047
O 0.000 3.047 0.000
O 3.047 0.000 0.000
O 3.047 3.047 3.047
```

Computed properties:
* total DFT energy (no corrections): -0.192 hartree per atom
* magnetization: 0.4900 μB/atom
* excess energy over the best structure of this formula in the dataset: 550 meV/atom